Entry 1:
A plane-wave DFT calculation with GGA-PBE was carried out for a geometry-optimized TbPmSe2 structure.

Total magnetic moment: 0.0 μB per cell
Uncorrected formation energy: -1779 meV per atom
Raw total energy: -5.867 eV per atom

a = 4.031 Å, b = 4.031 Å, c = 7.613 Å
α = 74.65°, β = 74.65°, γ = 60.00°
Fractional positions:
Pm 0.672 0.672 0.984
Se 0.085 0.085 0.746
Se 0.249 0.249 0.254
Tb 0.495 0.495 0.516

Entry 2:
A plane-wave DFT calculation with GGA-PBE was carried out for a geometry-optimized KC2 structure.

Total magnetic moment: 2.1 μB per cell
Raw total energy: -5.240 eV per atom

a = 4.552 Å, b = 4.552 Å, c = 8.259 Å
α = 87.49°, β = 110.47°, γ = 116.43°
Each line ends with the local moment (μB).
Fractional positions:
C 0.405 0.853 0.961  0.32
C 0.608 0.556 0.461  0.32
K 0.083 0.833 0.250  0.01
K 0.917 0.167 0.750  0.01
C 0.392 0.444 0.539  0.32
C 0.595 0.147 0.039  0.32

Entry 3:
A plane-wave DFT calculation with GGA-PBE was carried out for a geometry-optimized Y6Al5In structure.

Total magnetic moment: 0.0 μB per cell
Raw total energy: -5.444 eV per atom

a = 5.147 Å, b = 7.255 Å, c = 8.915 Å
α = 114.01°, β = 106.78°, γ = 90.00°
Fractional positions:
Al 0.335 0.835 0.671
Y 0.500 0.256 0.000
Y 0.831 0.578 0.662
Al 0.000 0.500 0.000
In 0.000 0.000 0.000
Y 0.831 0.084 0.662
Al 0.665 0.165 0.329
Al 0.333 0.333 0.667
Y 0.169 0.916 0.338
Al 0.667 0.667 0.333
Y 0.169 0.422 0.338
Y 0.500 0.744 0.000